i:
This record from the Alexandria database describes an optimized crystal structure of MnFeOs. The functional is PBE.

Calculated values
volume: 37.5 Å³/f.u.

CIF file:
```
data_MnFeOs
_cell_length_a 3.624
_cell_length_b 11.174
_cell_length_c 3.702
_cell_angle_alpha 90.00
_cell_angle_beta 90.00
_cell_angle_gamma 90.00
_symmetry_space_group_name_H-M 'C m c m'
_symmetry_Int_Tables_number 63
_symmetry_space_group_name_Hall '-C 2c 2'
loop_
_atom_site_label
_atom_site_fract_x
_atom_site_fract_y
_atom_site_fract_z
_atom_site_occupancy
Mn1 0.000 0.089 0.250 1
Fe1 0.000 0.249 0.750 1
Os1 0.000 0.409 0.250 1
```

ii:
This record from the Alexandria database describes an optimized crystal structure of MnFeOs. The functional is PBE.

Calculated values
volume: 37.5 Å³/f.u.

CIF file:
```
data_MnFeOs
_cell_length_a 4.0903
_cell_length_b 4.0903
_cell_length_c 2.5879
_cell_angle_alpha 90.00
_cell_angle_beta 90.00
_cell_angle_gamma 120.00
_symmetry_space_group_name_H-M 'P 3 m 1'
_symmetry_Int_Tables_number 156
loop_
_symmetry_equiv_pos_as_xyz
'x,y,z'
'-y,x-y,z'
'-x+y,-x,z'
'-y,-x,z'
'-x+y,y,z'
'x,x-y,z'
loop_
_atom_site_label
_atom_site_fract_x
_atom_site_fract_y
_atom_site_fract_z
_atom_site_occupancy
Mn1 0.0000 0.0000 0.0000 1
Fe1 0.3333 0.6667 0.7771 1
Os1 0.6667 0.3333 0.3834 1
```

iii:
This record from the Alexandria database describes an optimized crystal structure of MnFeOs. The functional is PBE.

Calculated values
volume: 36.5 Å³/f.u.

CIF file:
```
data_MnFeOs
_cell_length_a 2.613
_cell_length_b 2.613
_cell_length_c 10.709
_cell_angle_alpha 90.00
_cell_angle_beta 90.00
_cell_angle_gamma 90.00
_symmetry_space_group_name_H-M 'I 4 m m'
_symmetry_Int_Tables_number 107
_symmetry_space_group_name_Hall 'I 4 -2'
loop_
_atom_site_label
_atom_site_fract_x
_atom_site_fract_y
_atom_site_fract_z
_atom_site_occupancy
Mn1 0.000 0.000 0.000 1
Fe1 0.000 0.000 0.341 1
Os1 0.000 0.000 0.668 1
```

iv:
This record from the Alexandria database describes an optimized crystal structure of MnFeOs. The functional is PBE.

Calculated values
volume: 36.6 Å³/f.u.

CIF file:
```
data_MnFeOs
_cell_length_a 2.617
_cell_length_b 3.635
_cell_length_c 7.703
_cell_angle_alpha 90.00
_cell_angle_beta 90.00
_cell_angle_gamma 90.00
_symmetry_space_group_name_H-M 'I m m 2'
_symmetry_Int_Tables_number 44
loop_
_symmetry_equiv_pos_as_xyz
'x,y,z'
'-x,-y,z'
'-x,y,z'
'x,-y,z'
'x+1/2,y+1/2,z+1/2'
'-x+1/2,-y+1/2,z+1/2'
'-x+1/2,y+1/2,z+1/2'
'x+1/2,-y+1/2,z+1/2'
loop_
_atom_site_label
_atom_site_fract_x
_atom_site_fract_y
_atom_site_fract_z
_atom_site_occupancy
Mn1 0.000 0.000 0.000 1
Fe1 0.000 0.000 0.334 1
Os1 0.000 0.000 0.665 1
```

Decreasing stability: i, iv, ii, iii

i:
This record from the Alexandria database describes an optimized crystal structure of MnFeOs. The functional is PBE.

Calculated values
volume: 43.6 Å³/f.u.

CIF file:
```
data_MnFeOs
_cell_length_a 5.588
_cell_length_b 5.588
_cell_length_c 5.588
_cell_angle_alpha 90.00
_cell_angle_beta 90.00
_cell_angle_gamma 90.00
_symmetry_space_group_name_H-M 'F -4 3 m'
_symmetry_Int_Tables_number 216
_symmetry_space_group_name_Hall 'F -4 2 3'
loop_
_atom_site_label
_atom_site_fract_x
_atom_site_fract_y
_atom_site_fract_z
_atom_site_occupancy
Mn1 0.000 0.000 0.000 1
Fe1 0.250 0.250 0.750 1
Os1 0.000 0.000 0.500 1
```

ii:
This record from the Alexandria database describes an optimized crystal structure of MnFeOs. The functional is PBE.

Calculated values
volume: 37.1 Å³/f.u.

CIF file:
```
data_MnFeOs
_cell_length_a 4.516
_cell_length_b 7.872
_cell_length_c 8.349
_cell_angle_alpha 90.00
_cell_angle_beta 90.00
_cell_angle_gamma 90.00
_symmetry_space_group_name_H-M 'F m m m'
_symmetry_Int_Tables_number 69
_symmetry_space_group_name_Hall '-F 2 2'
loop_
_atom_site_label
_atom_site_fract_x
_atom_site_fract_y
_atom_site_fract_z
_atom_site_occupancy
Mn1 0.000 0.000 0.136 1
Fe1 0.250 0.250 0.250 1
Os1 0.000 0.154 0.500 1
```

Decreasing stability: ii, i

i:
This record from the Alexandria database describes an optimized crystal structure of Mn2Fe2Os. The functional is PBE.

Calculated values
volume: 57.1 Å³/f.u.

CIF file:
```
data_Mn2Fe2Os
_cell_length_a 6.687
_cell_length_b 6.687
_cell_length_c 2.552
_cell_angle_alpha 90.00
_cell_angle_beta 90.00
_cell_angle_gamma 90.00
_symmetry_space_group_name_H-M 'P 4/m b m'
_symmetry_Int_Tables_number 127
_symmetry_space_group_name_Hall '-P 4 2ab'
loop_
_atom_site_label
_atom_site_fract_x
_atom_site_fract_y
_atom_site_fract_z
_atom_site_occupancy
Mn1 0.120 0.380 0.000 1
Fe1 0.175 0.675 0.500 1
Os1 0.000 0.000 0.000 1
```

ii:
This record from the Alexandria database describes an optimized crystal structure of Mn2Fe2Os. The functional is PBE.

Calculated values
volume: 56.8 Å³/f.u.

CIF file:
```
data_Mn2Fe2Os
_cell_length_a 6.647
_cell_length_b 6.647
_cell_length_c 2.572
_cell_angle_alpha 90.00
_cell_angle_beta 90.00
_cell_angle_gamma 90.00
_symmetry_space_group_name_H-M 'P 4/m b m'
_symmetry_Int_Tables_number 127
_symmetry_space_group_name_Hall '-P 4 2ab'
loop_
_atom_site_label
_atom_site_fract_x
_atom_site_fract_y
_atom_site_fract_z
_atom_site_occupancy
Mn1 0.173 0.327 0.000 1
Fe1 0.123 0.623 0.500 1
Os1 0.000 0.000 0.500 1
```

iii:
This record from the Alexandria database describes an optimized crystal structure of Mn2Fe2Os. The functional is PBE.

Calculated values
volume: 56.8 Å³/f.u.

CIF file:
```
data_Mn2Fe2Os
_cell_length_a 2.567
_cell_length_b 5.964
_cell_length_c 7.818
_cell_angle_alpha 105.78
_cell_angle_beta 99.36
_cell_angle_gamma 90.05
_symmetry_space_group_name_H-M 'P -1'
_symmetry_Int_Tables_number 2
loop_
_symmetry_equiv_pos_as_xyz
'x,y,z'
'-x,-y,-z'
loop_
_atom_site_label
_atom_site_fract_x
_atom_site_fract_y
_atom_site_fract_z
_atom_site_occupancy
Mn1 0.018 0.233 0.037 1
Mn2 0.217 0.807 0.433 1
Fe1 0.184 0.392 0.368 1
Fe2 0.416 0.419 0.832 1
Os1 0.383 0.981 0.767 1
```

Decreasing stability: iii, ii, i

i:
This record from the Alexandria database describes an optimized crystal structure of MnFe3Os. The functional is PBE.

Calculated values
volume: 88.8 Å³/f.u.

CIF file:
```
data_MnFe3Os
_cell_length_a 4.462
_cell_length_b 4.462
_cell_length_c 4.462
_cell_angle_alpha 90.00
_cell_angle_beta 90.00
_cell_angle_gamma 90.00
_symmetry_space_group_name_H-M 'P m -3 m'
_symmetry_Int_Tables_number 221
_symmetry_space_group_name_Hall '-P 4 2 3'
loop_
_atom_site_label
_atom_site_fract_x
_atom_site_fract_y
_atom_site_fract_z
_atom_site_occupancy
Mn1 0.000 0.000 0.000 1
Fe1 0.000 0.500 0.500 1
Os1 0.500 0.500 0.500 1
```

ii:
This record from the Alexandria database describes an optimized crystal structure of MnFe3Os. The functional is PBE.

Calculated values
volume: 69.1 Å³/f.u.

CIF file:
```
data_MnFe3Os
_cell_length_a 4.104
_cell_length_b 4.104
_cell_length_c 4.104
_cell_angle_alpha 90.00
_cell_angle_beta 90.00
_cell_angle_gamma 90.00
_symmetry_space_group_name_H-M 'P m -3 m'
_symmetry_Int_Tables_number 221
_symmetry_space_group_name_Hall '-P 4 2 3'
loop_
_atom_site_label
_atom_site_fract_x
_atom_site_fract_y
_atom_site_fract_z
_atom_site_occupancy
Mn1 0.000 0.000 0.000 1
Fe1 0.000 0.000 0.500 1
Os1 0.500 0.500 0.500 1
```

Decreasing stability: ii, i